## one
## NbSb2W (PBE-GGA)

Data for a geometry-optimized NbSb2W structure.

It has space group Fm-3m (No. 225), with a = 6.745 Å, b = 6.745 Å, c = 6.745 Å, α = 90.00°, β = 90.00° and γ = 90.00°. The asymmetric unit holds Nb at (0.000, 0.000, 0.000), Sb at (0.250, 0.250, 0.250) and W at (0.000, 0.000, 0.500).

As for the density of states at the Fermi level: 2.19 states/eV/atom.

=====

## two
## NbSb2W (PBE-GGA)

Data for a geometry-optimized NbSb2W structure.

It has space group I-42d (No. 122), with a = 7.737 Å, b = 7.737 Å, c = 5.907 Å, α = 90.00°, β = 90.00° and γ = 90.00°. The asymmetric unit holds Nb at (0.000, 0.000, 0.000), Sb at (0.234, 0.250, 0.625) and W at (0.000, 0.000, 0.500).

As for the density of states at the Fermi level: 1.31 states/eV/atom.

=====

Top of the stability list: one, leading by 632 meV per atom.

=====

## one
## YNbSb2 (PBE-GGA)

Data for a geometry-optimized YNbSb2 structure.

It has space group I-42d (No. 122), with a = 6.457 Å, b = 6.457 Å, c = 14.013 Å, α = 90.00°, β = 90.00° and γ = 90.00°. The asymmetric unit holds Y at (0.000, 0.000, 0.000), Nb at (0.000, 0.000, 0.500) and Sb at (0.211, 0.250, 0.625).

As for the density of states at the Fermi level: 0.66 states/eV/atom.

=====

## two
## YNbSb2 (PBE-GGA)

Data for a geometry-optimized YNbSb2 structure.

It has space group Fm-3m (No. 225), with a = 7.166 Å, b = 7.166 Å, c = 7.166 Å, α = 90.00°, β = 90.00° and γ = 90.00°. The asymmetric unit holds Y at (0.000, 0.000, 0.000), Nb at (0.000, 0.000, 0.500) and Sb at (0.250, 0.250, 0.250).

As for the density of states at the Fermi level: 1.21 states/eV/atom.

=====

Top of the stability list: two, leading by 481 meV per atom.